# Li2TiPd9

A relaxed structure of Li2TiPd9 (PBE, Alexandria via LeMat-Bulk).

Geometry as CIF:
```
data_Li2TiPd9
_cell_length_a 3.923
_cell_length_b 3.923
_cell_length_c 11.628
_cell_angle_alpha 90.00
_cell_angle_beta 90.00
_cell_angle_gamma 90.00
_symmetry_space_group_name_H-M 'P 4/m m m'
_symmetry_Int_Tables_number 123
_symmetry_space_group_name_Hall '-P 4 2'
loop_
_atom_site_label
_atom_site_fract_x
_atom_site_fract_y
_atom_site_fract_z
Li1 0.000 0.000 0.164
Ti1 0.000 0.000 0.500
Pd1 0.000 0.500 0.000
Pd2 0.000 0.500 0.335
Pd3 0.500 0.500 0.167
Pd4 0.500 0.500 0.500
```

- ΔE_f (meV per atom) = -391
- raw total energy (eV/cell) = -63.16

=====

# LiTi2Pd2

A relaxed structure of LiTi2Pd2 (PBE, Alexandria via LeMat-Bulk).

Geometry as CIF:
```
data_LiTi2Pd2
_cell_length_a 2.935
_cell_length_b 18.325
_cell_length_c 2.880
_cell_angle_alpha 90.00
_cell_angle_beta 90.00
_cell_angle_gamma 90.00
_symmetry_space_group_name_H-M 'C m m m'
_symmetry_Int_Tables_number 65
_symmetry_space_group_name_Hall '-C 2 2'
loop_
_atom_site_label
_atom_site_fract_x
_atom_site_fract_y
_atom_site_fract_z
Li1 0.000 0.000 0.000
Ti1 0.000 0.187 0.000
Pd1 0.000 0.409 0.500
```

- ΔE_f (meV per atom) = -309
- raw total energy (eV/cell) = -59.27

=====

# Li3TiPd6

A relaxed structure of Li3TiPd6 (PBE, Alexandria via LeMat-Bulk).

Geometry as CIF:
```
data_Li3TiPd6
_cell_length_a 7.825
_cell_length_b 4.130
_cell_length_c 9.014
_cell_angle_alpha 90.00
_cell_angle_beta 100.42
_cell_angle_gamma 90.00
_symmetry_space_group_name_H-M 'P 1 21/m 1'
_symmetry_Int_Tables_number 11
loop_
_symmetry_equiv_pos_as_xyz
'x,y,z'
'-x,-y,-z'
'-x,y+1/2,-z'
'x,-y+1/2,z'
loop_
_atom_site_label
_atom_site_fract_x
_atom_site_fract_y
_atom_site_fract_z
Li1 0.049 0.250 0.397
Li2 0.149 0.750 0.186
Li3 0.250 0.250 0.978
Ti1 0.433 0.250 0.621
Pd1 0.038 0.750 0.897
Pd2 0.122 0.250 0.684
Pd3 0.248 0.750 0.484
Pd4 0.343 0.750 0.788
Pd5 0.345 0.250 0.302
Pd6 0.436 0.750 0.096
```

- ΔE_f (meV per atom) = -477
- raw total energy (eV/cell) = -99.12

=====

# Li3TiPd7

A relaxed structure of Li3TiPd7 (PBE, Alexandria via LeMat-Bulk).

Geometry as CIF:
```
data_Li3TiPd7
_cell_length_a 8.481
_cell_length_b 8.989
_cell_length_c 4.981
_cell_angle_alpha 90.00
_cell_angle_beta 115.12
_cell_angle_gamma 90.00
_symmetry_space_group_name_H-M 'C 1 2/m 1'
_symmetry_Int_Tables_number 12
loop_
_symmetry_equiv_pos_as_xyz
'x,y,z'
'-x,-y,-z'
'-x,y,-z'
'x,-y,z'
'x+1/2,y+1/2,z'
'-x+1/2,-y+1/2,-z'
'-x+1/2,y+1/2,-z'
'x+1/2,-y+1/2,z'
loop_
_atom_site_label
_atom_site_fract_x
_atom_site_fract_y
_atom_site_fract_z
Li1 0.000 0.000 0.000
Li2 0.000 0.227 0.500
Ti1 0.000 0.500 0.000
Pd1 0.000 0.500 0.500
Pd2 0.174 0.241 0.182
Pd3 0.187 0.000 0.550
```

- ΔE_f (meV per atom) = -204
- raw total energy (eV/cell) = -104.46

=====

# Li4TiPd5

A relaxed structure of Li4TiPd5 (PBE, Alexandria via LeMat-Bulk).

Geometry as CIF:
```
data_Li4TiPd5
_cell_length_a 3.079
_cell_length_b 3.079
_cell_length_c 14.768
_cell_angle_alpha 90.00
_cell_angle_beta 90.00
_cell_angle_gamma 90.00
_symmetry_space_group_name_H-M 'P 4/m m m'
_symmetry_Int_Tables_number 123
_symmetry_space_group_name_Hall '-P 4 2'
loop_
_atom_site_label
_atom_site_fract_x
_atom_site_fract_y
_atom_site_fract_z
Li1 0.000 0.000 0.097
Li2 0.000 0.000 0.289
Ti1 0.000 0.000 0.500
Pd1 0.500 0.500 0.000
Pd2 0.500 0.500 0.196
Pd3 0.500 0.500 0.396
```

- ΔE_f (meV per atom) = -480
- raw total energy (eV/cell) = -46.32

=====

# Li4TiPd7

A relaxed structure of Li4TiPd7 (PBE, Alexandria via LeMat-Bulk).

Geometry as CIF:
```
data_Li4TiPd7
_cell_length_a 12.194
_cell_length_b 4.753
_cell_length_c 7.562
_cell_angle_alpha 90.00
_cell_angle_beta 124.35
_cell_angle_gamma 90.00
_symmetry_space_group_name_H-M 'C 1 2/m 1'
_symmetry_Int_Tables_number 12
loop_
_symmetry_equiv_pos_as_xyz
'x,y,z'
'-x,-y,-z'
'-x,y,-z'
'x,-y,z'
'x+1/2,y+1/2,z'
'-x+1/2,-y+1/2,-z'
'-x+1/2,y+1/2,-z'
'x+1/2,-y+1/2,z'
loop_
_atom_site_label
_atom_site_fract_x
_atom_site_fract_y
_atom_site_fract_z
Li1 0.054 0.000 0.218
Li2 0.189 0.000 0.866
Ti1 0.000 0.500 0.500
Pd1 0.000 0.000 0.500
Pd2 0.065 0.500 0.899
Pd3 0.219 0.500 0.374
Pd4 0.239 0.500 0.762
```

- ΔE_f (meV per atom) = -254
- raw total energy (eV/cell) = -109.90

=====

# LiTiPd6

A relaxed structure of LiTiPd6 (PBE, Alexandria via LeMat-Bulk).

Geometry as CIF:
```
data_LiTiPd6
_cell_length_a 7.524
_cell_length_b 8.466
_cell_length_c 5.330
_cell_angle_alpha 90.00
_cell_angle_beta 132.98
_cell_angle_gamma 90.00
_symmetry_space_group_name_H-M 'C 1 2/m 1'
_symmetry_Int_Tables_number 12
loop_
_symmetry_equiv_pos_as_xyz
'x,y,z'
'-x,-y,-z'
'-x,y,-z'
'x,-y,z'
'x+1/2,y+1/2,z'
'-x+1/2,-y+1/2,-z'
'-x+1/2,y+1/2,-z'
'x+1/2,-y+1/2,z'
loop_
_atom_site_label
_atom_site_fract_x
_atom_site_fract_y
_atom_site_fract_z
Li1 0.000 0.000 0.000
Ti1 0.000 0.500 0.500
Pd1 0.000 0.252 0.251
Pd2 0.249 0.000 0.748
```

- ΔE_f (meV per atom) = -221
- raw total energy (eV/cell) = -85.47

=====

# LiTi2Pd4

A relaxed structure of LiTi2Pd4 (PBE, Alexandria via LeMat-Bulk).

Geometry as CIF:
```
data_LiTi2Pd4
_cell_length_a 9.947
_cell_length_b 5.457
_cell_length_c 8.615
_cell_angle_alpha 90.00
_cell_angle_beta 90.00
_cell_angle_gamma 90.00
_symmetry_space_group_name_H-M 'C m c e'
_symmetry_Int_Tables_number 64
_symmetry_space_group_name_Hall '-C 2ac 2'
loop_
_atom_site_label
_atom_site_fract_x
_atom_site_fract_y
_atom_site_fract_z
Li1 0.000 0.000 0.000
Ti1 0.165 0.000 0.500
Pd1 0.000 0.090 0.285
Pd2 0.250 0.208 0.750
```

- ΔE_f (meV per atom) = -273
- raw total energy (eV/cell) = -161.53

=====

# LiTi6Pd12

A relaxed structure of LiTi6Pd12 (PBE, Alexandria via LeMat-Bulk).

Geometry as CIF:
```
data_LiTi6Pd12
_cell_length_a 9.5302
_cell_length_b 9.5302
_cell_length_c 11.3692
_cell_angle_alpha 90.00
_cell_angle_beta 90.00
_cell_angle_gamma 120.00
_symmetry_space_group_name_H-M 'R -3'
_symmetry_Int_Tables_number 148
_symmetry_space_group_name_Hall '-R 3'
loop_
_atom_site_label
_atom_site_fract_x
_atom_site_fract_y
_atom_site_fract_z
Li1 0.0000 0.0000 0.0000
Ti1 0.0201 0.4206 0.7211
Pd1 0.0319 0.1834 0.8333
Pd2 0.0513 0.8509 0.4049
```

- ΔE_f (meV per atom) = -450
- raw total energy (eV/cell) = -360.44

=====

# Li2TiPd

A relaxed structure of Li2TiPd (PBE, Alexandria via LeMat-Bulk).

Geometry as CIF:
```
data_Li2TiPd
_cell_length_a 7.125
_cell_length_b 7.125
_cell_length_c 5.143
_cell_angle_alpha 90.00
_cell_angle_beta 90.00
_cell_angle_gamma 90.00
_symmetry_space_group_name_H-M 'I -4 2 d'
_symmetry_Int_Tables_number 122
_symmetry_space_group_name_Hall 'I -4 2bw'
loop_
_atom_site_label
_atom_site_fract_x
_atom_site_fract_y
_atom_site_fract_z
Li1 0.222 0.250 0.125
Ti1 0.000 0.000 0.500
Pd1 0.000 0.000 0.000
```

- ΔE_f (meV per atom) = 180
- raw total energy (eV/cell) = -64.78

=====

# Li2TiPd7

A relaxed structure of Li2TiPd7 (PBE, Alexandria via LeMat-Bulk).

Geometry as CIF:
```
data_Li2TiPd7
_cell_length_a 8.418
_cell_length_b 14.904
_cell_length_c 2.750
_cell_angle_alpha 90.00
_cell_angle_beta 90.00
_cell_angle_gamma 90.00
_symmetry_space_group_name_H-M 'C m m m'
_symmetry_Int_Tables_number 65
_symmetry_space_group_name_Hall '-C 2 2'
loop_
_atom_site_label
_atom_site_fract_x
_atom_site_fract_y
_atom_site_fract_z
Li1 0.000 0.169 0.000
Ti1 0.000 0.500 0.500
Pd1 0.000 0.000 0.000
Pd2 0.000 0.314 0.500
Pd3 0.221 0.408 0.000
```

- ΔE_f (meV per atom) = -99
- raw total energy (eV/cell) = -98.12

=====

# LiTiPd5

A relaxed structure of LiTiPd5 (PBE, Alexandria via LeMat-Bulk).

Geometry as CIF:
```
data_LiTiPd5
_cell_length_a 9.248
_cell_length_b 5.585
_cell_length_c 9.132
_cell_angle_alpha 90.00
_cell_angle_beta 105.84
_cell_angle_gamma 90.00
_symmetry_space_group_name_H-M 'C 1 2/c 1'
_symmetry_Int_Tables_number 15
loop_
_symmetry_equiv_pos_as_xyz
'x,y,z'
'-x,-y,-z'
'-x,y,-z+1/2'
'x,-y,z+1/2'
'x+1/2,y+1/2,z'
'-x+1/2,-y+1/2,-z'
'-x+1/2,y+1/2,-z+1/2'
'x+1/2,-y+1/2,z+1/2'
loop_
_atom_site_label
_atom_site_fract_x
_atom_site_fract_y
_atom_site_fract_z
Li1 0.250 0.250 0.000
Ti1 0.000 0.121 0.250
Pd1 0.000 0.324 0.750
Pd2 0.101 0.325 0.488
Pd3 0.249 0.067 0.737
```

- ΔE_f (meV per atom) = -336
- raw total energy (eV/cell) = -152.49

=====

raw total energy of number 10 (Li2TiPd)?
-64.78 eV/cell

=====

Which value of ΔE_f does entry 7 give?
-221 meV per atom